DFT (PBE) results for an optimized crystal structure of Pm2CuPd3Au12.

The formation energy is -0.049 eV per atom.

The structure belongs to space group R-3m (No. 166, hexagonal axes); the cell edges are 7.2143, 7.2143 and 26.0777 Å and the angles 90.00°, 90.00° and 120.00°. Symmetry generates all atoms from Pm at (0.0000, 0.0000, 0.1504), Cu at (0.0000, 0.0000, 0.5000), Pd at (0.0000, 0.5000, 0.0000), Au at (0.0201, 0.5100, 0.1068) and Au at (0.0756, 0.5378, 0.6160).

=====

DFT (PBE) results for an optimized crystal structure of Pr3Cu2Pd9Au.

The formation energy is -0.214 eV per atom.

The structure belongs to space group P-3m1 (No. 164); the cell edges are 7.8682, 7.8682 and 5.9946 Å and the angles 90.00°, 90.00° and 120.00°. Symmetry generates all atoms from Pr at (0.0000, 0.0000, 0.0000), Pr at (0.3333, 0.6667, 0.6564), Cu at (0.3333, 0.6667, 0.1412), Pd at (0.0000, 0.5000, 0.0000), Pd at (0.1743, 0.3485, 0.3219) and Au at (0.0000, 0.0000, 0.5000).

=====

DFT (PBE) results for an optimized crystal structure of Pr2CuPd3Au12.

The formation energy is -0.051 eV per atom.

The structure belongs to space group R-3m (No. 166, hexagonal axes); the cell edges are 7.2071, 7.2071 and 26.3404 Å and the angles 90.00°, 90.00° and 120.00°. Symmetry generates all atoms from Pr at (0.0000, 0.0000, 0.1512), Cu at (0.0000, 0.0000, 0.5000), Pd at (0.0000, 0.5000, 0.0000), Au at (0.0263, 0.5132, 0.1054) and Au at (0.0753, 0.5377, 0.6162).

=====

DFT (PBE) results for an optimized crystal structure of Cu2Pd5PtAu2.

The formation energy is 0.087 eV per atom.

The structure belongs to space group P4/mbm (No. 127); the cell edges are 8.900, 8.900 and 4.011 Å and the angles 90.00°, 90.00° and 90.00°. Symmetry generates all atoms from Cu at (0.124, 0.376, 0.000), Pd at (0.000, 0.500, 0.500), Pd at (0.082, 0.199, 0.500), Pt at (0.000, 0.000, 0.000) and Au at (0.171, 0.671, 0.000).

=====

DFT (PBE) results for an optimized crystal structure of CuPdPtAu.

The formation energy is -0.093 eV per atom.

The structure belongs to space group P4mm (No. 99); the cell edges are 2.812, 2.812 and 7.734 Å and the angles 90.00°, 90.00° and 90.00°. Symmetry generates all atoms from Cu at (0.000, 0.000, 0.000), Pd at (0.000, 0.000, 0.514), Pt at (0.500, 0.500, 0.773) and Au at (0.500, 0.500, 0.243).

=====

DFT (PBE) results for an optimized crystal structure of CuPd2PtAu.

The formation energy is 0.094 eV per atom.

The structure belongs to space group Cmcm (No. 63); the cell edges are 4.523, 9.103 and 8.012 Å and the angles 90.00°, 90.00° and 90.00°. Symmetry generates all atoms from Cu at (0.000, 0.000, 0.000), Pd at (0.000, 0.288, 0.074), Pt at (0.000, 0.156, 0.750) and Au at (0.000, 0.450, 0.750).

=====

DFT (PBE) results for an optimized crystal structure of Cu2SbPd5Au2.

The value obtained for the formation energy (no corrections) is -0.110 eV/atom.

The structure belongs to space group P4/mbm (No. 127); the cell edges are 9.167, 9.167 and 3.897 Å and the angles 90.00°, 90.00° and 90.00°. Symmetry generates all atoms from Cu at (0.126, 0.374, 0.000), Sb at (0.000, 0.000, 0.000), Pd at (0.000, 0.500, 0.500), Pd at (0.084, 0.196, 0.500) and Au at (0.166, 0.666, 0.000).

=====

DFT (PBE) results for an optimized crystal structure of Cu7Sb2PdAu2.

The value obtained for the formation energy (no corrections) is 0.061 eV/atom.

The structure belongs to space group C2/m (No. 12); the cell edges are 5.215, 5.215 and 14.475 Å and the angles 90.00°, 99.80° and 90.00°. Symmetry generates all atoms from Cu at (0.000, 0.000, 0.000), Cu at (0.188, 0.250, 0.868), Cu at (0.222, 0.000, 0.459), Sb at (0.173, 0.500, 0.361), Pd at (0.000, 0.500, 0.000) and Au at (0.128, 0.000, 0.267).

=====

Fermi-level density of states in states/eV per cell, matching the order above: 17.59, 4.90, 17.32, 24.98, 4.11, 12.92, 9.63, 9.17